# BeIr2 (PBE-GGA, optimized geometry)
# Energy relative to the elements in kJ/mol of atoms: -19.4
# Volume in Å³/atom: 12.309
# Total DFT energy (no corrections) in eV for the cell shown: -88.20
# Fermi-level density of states in states/eV/f.u.: 3.9
data_BeIr2
_chemical_formula_sum 'Be4 Ir8'
_cell_length_a 5.7597
_cell_length_b 5.7597
_cell_length_c 4.4527
_cell_angle_alpha 90.00
_cell_angle_beta 90.00
_cell_angle_gamma 90.00
_space_group_name_H-M_alt 'I 4/m c m'
_space_group_IT_number 140
_space_group_name_Hall '-I 4 2c'
loop_
_atom_site_label
_atom_site_type_symbol
_atom_site_fract_x
_atom_site_fract_y
_atom_site_fract_z
Be1 Be 0.0000 0.0000 0.2500
Ir1 Ir 0.1577 0.3423 0.0000

# SmI2Cl (PBE-GGA, optimized geometry)
# Volume in Å³/atom: 45.767
# Total DFT energy (no corrections) in eV for the cell shown: -32.74
# Fermi-level density of states in states/eV/f.u.: 0.0
# ΔE_f (raw) in eV/atom: -1.68
data_SmI2Cl
_chemical_formula_sum 'Sm2 I4 Cl2'
_cell_length_a 4.4601
_cell_length_b 5.4143
_cell_length_c 15.1618
_cell_angle_alpha 90.00
_cell_angle_beta 90.00
_cell_angle_gamma 90.00
_space_group_name_H-M_alt 'I m m m'
_space_group_IT_number 71
_space_group_name_Hall '-I 2 2'
loop_
_atom_site_label
_atom_site_type_symbol
_atom_site_fract_x
_atom_site_fract_y
_atom_site_fract_z
Sm1 Sm 0.0000 0.0000 0.0000
I1 I 0.0000 0.5000 0.3573
Cl1 Cl 0.0000 0.5000 0.0000

# Cu3Cl2O (PBE-GGA, optimized geometry)
# Volume in Å³/atom: 17.944
# Total DFT energy (no corrections) in eV for the cell shown: -46.69
# Fermi-level density of states in states/eV/f.u.: 5.4
# ΔE_f (raw) in eV/atom: -0.40
data_Cu3Cl2O
_chemical_formula_sum 'Cu6 Cl4 O2'
_cell_length_a 3.3979
_cell_length_b 15.0015
_cell_length_c 4.2243
_cell_angle_alpha 90.00
_cell_angle_beta 90.00
_cell_angle_gamma 90.00
_space_group_name_H-M_alt 'I m m 2'
_space_group_IT_number 44
_space_group_name_Hall 'I 2 -2'
loop_
_atom_site_label
_atom_site_type_symbol
_atom_site_fract_x
_atom_site_fract_y
_atom_site_fract_z
Cu1 Cu 0.0000 0.0000 0.0000
Cu2 Cu 0.0000 0.4125 0.0852
Cl1 Cl 0.0000 0.1586 0.8315
O1 O 0.0000 0.5000 0.7644

# AlNiP2 (PBE-GGA, optimized geometry)
# Energy relative to the elements in kJ/mol of atoms: -19.4
# Volume in Å³/atom: 14.675
# Total DFT energy (no corrections) in eV for the cell shown: -42.30
# Fermi-level density of states in states/eV/f.u.: 1.0
data_AlNiP2
_chemical_formula_sum 'Al2 Ni2 P4'
_cell_length_a 7.0538
_cell_length_b 3.3355
_cell_length_c 5.8834
_cell_angle_alpha 90.00
_cell_angle_beta 121.99
_cell_angle_gamma 90.00
_space_group_name_H-M_alt 'C 1 m 1'
_space_group_IT_number 8
_space_group_name_Hall 'C -2y'
loop_
_atom_site_label
_atom_site_type_symbol
_atom_site_fract_x
_atom_site_fract_y
_atom_site_fract_z
Al1 Al 0.0000 0.0000 0.0000
Ni1 Ni 0.3246 0.5000 0.2899
P1 P 0.0697 0.5000 0.3948
P2 P 0.1668 0.0000 0.7295

# CuRu (PBE-GGA, optimized geometry)
# Energy relative to the elements in kJ/mol of atoms: 26.6
# Volume in Å³/atom: 12.942
# Total DFT energy (no corrections) in eV for the cell shown: -51.28
# Fermi-level density of states in states/eV/f.u.: 1.5
data_CuRu
_chemical_formula_sum 'Cu4 Ru4'
_cell_length_a 3.0003
_cell_length_b 4.1938
_cell_length_c 8.2282
_cell_angle_alpha 90.00
_cell_angle_beta 90.00
_cell_angle_gamma 90.00
_space_group_name_H-M_alt 'I m m a'
_space_group_IT_number 74
_space_group_name_Hall '-I 2b 2'
loop_
_atom_site_label
_atom_site_type_symbol
_atom_site_fract_x
_atom_site_fract_y
_atom_site_fract_z
Cu1 Cu 0.0000 0.2500 0.1356
Ru1 Ru 0.0000 0.2500 0.6204

# ReAg2I (PBE-GGA, optimized geometry)
# Energy relative to the lowest polymorph listed for this composition in eV per formula unit: 0.821
# Volume in Å³/atom: 21.809
# Total DFT energy (no corrections) in eV for the cell shown: -55.76
# Fermi-level density of states in states/eV/f.u.: 1.6
# ΔE_f (raw) in eV/atom: 1.44
data_ReAg2I
_chemical_formula_sum 'Re4 Ag8 I4'
_cell_length_a 7.0402
_cell_length_b 7.0402
_cell_length_c 7.0402
_cell_angle_alpha 90.00
_cell_angle_beta 90.00
_cell_angle_gamma 90.00
_space_group_name_H-M_alt 'F m -3 m'
_space_group_IT_number 225
_space_group_name_Hall '-F 4 2 3'
loop_
_atom_site_label
_atom_site_type_symbol
_atom_site_fract_x
_atom_site_fract_y
_atom_site_fract_z
Re1 Re 0.0000 0.0000 0.0000
Ag1 Ag 0.2500 0.2500 0.2500
I1 I 0.0000 0.0000 0.5000

# CaHCl3 (PBE-GGA, optimized geometry)
# Energy relative to the lowest polymorph listed for this composition in eV per formula unit: 3.438
# Volume in Å³/atom: 18.430
# Total DFT energy (no corrections) in eV for the cell shown: -15.45
# Fermi-level density of states in states/eV/f.u.: 0.9
data_CaHCl3
_chemical_formula_sum 'Ca1 H1 Cl3'
_cell_length_a 4.5168
_cell_length_b 4.5168
_cell_length_c 4.5168
_cell_angle_alpha 90.00
_cell_angle_beta 90.00
_cell_angle_gamma 90.00
_space_group_name_H-M_alt 'P m -3 m'
_space_group_IT_number 221
_space_group_name_Hall '-P 4 2 3'
loop_
_atom_site_label
_atom_site_type_symbol
_atom_site_fract_x
_atom_site_fract_y
_atom_site_fract_z
Ca1 Ca 0.0000 0.0000 0.0000
H1 H 0.5000 0.5000 0.5000
Cl1 Cl 0.0000 0.5000 0.5000

# Ac2Cu5Ir (PBE-GGA, optimized geometry)
# Energy relative to the elements in kJ/mol of atoms: -18.5
# Volume in Å³/atom: 19.729
# Total DFT energy (no corrections) in eV for the cell shown: -156.38
# Fermi-level density of states in states/eV/f.u.: 3.9
data_Ac2Cu5Ir
_chemical_formula_sum 'Ac8 Cu20 Ir4'
_cell_length_a 4.3016
_cell_length_b 16.2969
_cell_length_c 9.0058
_cell_angle_alpha 90.00
_cell_angle_beta 90.00
_cell_angle_gamma 90.00
_space_group_name_H-M_alt 'C m c m'
_space_group_IT_number 63
_space_group_name_Hall '-C 2c 2'
loop_
_atom_site_label
_atom_site_type_symbol
_atom_site_fract_x
_atom_site_fract_y
_atom_site_fract_z
Ac1 Ac 0.0000 0.0000 0.0000
Ac2 Ac 0.0000 0.1991 0.2500
Cu1 Cu 0.0000 0.1802 0.6151
Cu2 Cu 0.0000 0.3445 0.5112
Cu3 Cu 0.0000 0.3995 0.2500
Ir1 Ir 0.0000 0.4397 0.7500

# MnGa2Pd9 (PBE-GGA, optimized geometry)
# Energy relative to the elements in kJ/mol of atoms: -36.1
# Volume in Å³/atom: 15.076
# Total DFT energy (no corrections) in eV for the cell shown: -66.45
# Fermi-level density of states in states/eV/f.u.: 13.0
data_MnGa2Pd9
_chemical_formula_sum 'Mn1 Ga2 Pd9'
_cell_length_a 3.9359
_cell_length_b 3.9359
_cell_length_c 11.6781
_cell_angle_alpha 90.00
_cell_angle_beta 90.00
_cell_angle_gamma 90.00
_space_group_name_H-M_alt 'P 4/m m m'
_space_group_IT_number 123
_space_group_name_Hall '-P 4 2'
loop_
_atom_site_label
_atom_site_type_symbol
_atom_site_fract_x
_atom_site_fract_y
_atom_site_fract_z
Mn1 Mn 0.0000 0.0000 0.0000
Ga1 Ga 0.0000 0.0000 0.3350
Pd1 Pd 0.0000 0.5000 0.1670
Pd2 Pd 0.0000 0.5000 0.5000
Pd3 Pd 0.5000 0.5000 0.0000
Pd4 Pd 0.5000 0.5000 0.3329

# PrEr12Tm7 (PBE-GGA, optimized geometry)
# Energy relative to the lowest polymorph listed for this composition in eV per formula unit: 9.767
# Energy relative to the elements in kJ/mol of atoms: 70.5
# Volume in Å³/atom: 35.285
# Total DFT energy (no corrections) in eV for the cell shown: -152.42
# Fermi-level density of states in states/eV/f.u.: 24.1
data_PrEr12Tm7
_chemical_formula_sum 'Pr2 Er24 Tm14'
_cell_length_a 11.2171
_cell_length_b 11.2171
_cell_length_c 11.2171
_cell_angle_alpha 90.00
_cell_angle_beta 90.00
_cell_angle_gamma 90.00
_space_group_name_H-M_alt 'I m -3 m'
_space_group_IT_number 229
_space_group_name_Hall '-I 4 2 3'
loop_
_atom_site_label
_atom_site_type_symbol
_atom_site_fract_x
_atom_site_fract_y
_atom_site_fract_z
Pr1 Pr 0.0000 0.0000 0.0000
Er1 Er 0.0000 0.2596 0.2596
Tm1 Tm 0.0000 0.0000 0.5000
Tm2 Tm 0.2500 0.2500 0.2500

# AcTh2H8 (PBE-GGA, optimized geometry)
# Volume in Å³/atom: 11.662
# Total DFT energy (no corrections) in eV for the cell shown: -101.72
# Fermi-level density of states in states/eV/f.u.: 4.1
data_AcTh2H8
_chemical_formula_sum 'Ac2 Th4 H16'
_cell_length_a 3.6475
_cell_length_b 6.3097
_cell_length_c 11.1476
_cell_angle_alpha 90.00
_cell_angle_beta 90.00
_cell_angle_gamma 90.00
_space_group_name_H-M_alt 'I m m m'
_space_group_IT_number 71
_space_group_name_Hall '-I 2 2'
loop_
_atom_site_label
_atom_site_type_symbol
_atom_site_fract_x
_atom_site_fract_y
_atom_site_fract_z
Ac1 Ac 0.0000 0.0000 0.0000
Th1 Th 0.0000 0.0000 0.3291
H1 H 0.0000 0.2178 0.5000
H2 H 0.0000 0.2608 0.1707
H3 H 0.0000 0.5000 0.3252

# TaN (PBE-GGA, optimized geometry)
# Volume in Å³/atom: 16.647
# Total DFT energy (no corrections) in eV for the cell shown: -169.03
# Fermi-level density of states in states/eV/f.u.: 0.8
# ΔE_f (raw) in eV/atom: -0.48
data_TaN
_chemical_formula_sum 'Ta8 N8'
_cell_length_a 6.4340
_cell_length_b 6.4340
_cell_length_c 6.4340
_cell_angle_alpha 90.00
_cell_angle_beta 90.00
_cell_angle_gamma 90.00
_space_group_name_H-M_alt 'I -4 3 m'
_space_group_IT_number 217
_space_group_name_Hall 'I -4 2 3'
loop_
_atom_site_label
_atom_site_type_symbol
_atom_site_fract_x
_atom_site_fract_y
_atom_site_fract_z
Ta1 Ta 0.1661 0.1661 0.8339
N1 N 0.1550 0.1550 0.1550

# HoGa12Co6 (PBE-GGA, optimized geometry)
# Energy relative to the elements in kJ/mol of atoms: -20.8
# Volume in Å³/atom: 15.204
# Total DFT energy (no corrections) in eV for the cell shown: -262.92
# Fermi-level density of states in states/eV/f.u.: 10.6
data_HoGa12Co6
_chemical_formula_sum 'Ho3 Ga36 Co18'
_cell_length_a 10.9659
_cell_length_b 10.9659
_cell_length_c 8.3220
_cell_angle_alpha 90.00
_cell_angle_beta 90.00
_cell_angle_gamma 120.00
_space_group_name_H-M_alt 'R -3 m'
_space_group_IT_number 166
_space_group_name_Hall '-R 3 2"'
loop_
_atom_site_label
_atom_site_type_symbol
_atom_site_fract_x
_atom_site_fract_y
_atom_site_fract_z
Ho1 Ho 0.0000 0.0000 0.0000
Ga1 Ga 0.0000 0.3831 0.5000
Ga2 Ga 0.0884 0.1769 0.3235
Co1 Co 0.0523 0.5261 0.2522

# ScZnPCl2 (PBE-GGA, optimized geometry)
# Energy relative to the lowest polymorph listed for this composition in eV per formula unit: 0.000
# Volume in Å³/atom: 25.304
# Total DFT energy (no corrections) in eV for the cell shown: -20.06
# Fermi-level density of states in states/eV/f.u.: 2.4
# ΔE_f (raw) in eV/atom: -0.67
data_ScZnPCl2
_chemical_formula_sum 'Sc1 Zn1 P1 Cl2'
_cell_length_a 4.8329
_cell_length_b 4.8329
_cell_length_c 5.4169
_cell_angle_alpha 90.00
_cell_angle_beta 90.00
_cell_angle_gamma 90.00
_space_group_name_H-M_alt 'P 4/m m m'
_space_group_IT_number 123
_space_group_name_Hall '-P 4 2'
loop_
_atom_site_label
_atom_site_type_symbol
_atom_site_fract_x
_atom_site_fract_y
_atom_site_fract_z
Sc1 Sc 0.0000 0.0000 0.0000
Zn1 Zn 0.5000 0.5000 0.5000
P1 P 0.0000 0.0000 0.5000
Cl1 Cl 0.0000 0.5000 0.0000

# BaSiP (PBE-GGA, optimized geometry)
# Energy relative to the lowest polymorph listed for this composition in eV per formula unit: 3.109
# Volume in Å³/atom: 32.358
# Total DFT energy (no corrections) in eV for the cell shown: -44.29
# Fermi-level density of states in states/eV/f.u.: 2.5
# ΔE_f (raw) in eV/atom: 0.56
data_BaSiP
_chemical_formula_sum 'Ba4 Si4 P4'
_cell_length_a 7.2955
_cell_length_b 7.2955
_cell_length_c 7.2955
_cell_angle_alpha 90.00
_cell_angle_beta 90.00
_cell_angle_gamma 90.00
_space_group_name_H-M_alt 'F -4 3 m'
_space_group_IT_number 216
_space_group_name_Hall 'F -4 2 3'
loop_
_atom_site_label
_atom_site_type_symbol
_atom_site_fract_x
_atom_site_fract_y
_atom_site_fract_z
Ba1 Ba 0.0000 0.0000 0.0000
Si1 Si 0.2500 0.2500 0.7500
P1 P 0.2500 0.2500 0.2500

# FeTe3N (PBE-GGA, optimized geometry)
# Energy relative to the lowest polymorph listed for this composition in eV per formula unit: 0.000
# Volume in Å³/atom: 19.917
# Total DFT energy (no corrections) in eV for the cell shown: -20.16
# Fermi-level density of states in states/eV/f.u.: 7.1
# ΔE_f (raw) in eV/atom: 1.21
data_FeTe3N
_chemical_formula_sum 'Fe1 Te3 N1'
_cell_length_a 4.6352
_cell_length_b 4.6352
_cell_length_c 4.6352
_cell_angle_alpha 90.00
_cell_angle_beta 90.00
_cell_angle_gamma 90.00
_space_group_name_H-M_alt 'P m -3 m'
_space_group_IT_number 221
_space_group_name_Hall '-P 4 2 3'
loop_
_atom_site_label
_atom_site_type_symbol
_atom_site_fract_x
_atom_site_fract_y
_atom_site_fract_z
Fe1 Fe 0.0000 0.0000 0.0000
Te1 Te 0.0000 0.5000 0.5000
N1 N 0.5000 0.5000 0.5000

# Li5Ca6Zn (PBE-GGA, optimized geometry)
# Energy relative to the elements in kJ/mol of atoms: -2.5
# Volume in Å³/atom: 29.834
# Total DFT energy (no corrections) in eV for the cell shown: -46.34
# Fermi-level density of states in states/eV/f.u.: 10.6
data_Li5Ca6Zn
_chemical_formula_sum 'Li10 Ca12 Zn2'
_cell_length_a 5.5396
_cell_length_b 7.8577
_cell_length_c 16.4494
_cell_angle_alpha 90.00
_cell_angle_beta 90.00
_cell_angle_gamma 90.00
_space_group_name_H-M_alt 'I m m m'
_space_group_IT_number 71
_space_group_name_Hall '-I 2 2'
loop_
_atom_site_label
_atom_site_type_symbol
_atom_site_fract_x
_atom_site_fract_y
_atom_site_fract_z
Li1 Li 0.0000 0.0000 0.0000
Li2 Li 0.0000 0.0000 0.3262
Li3 Li 0.0000 0.5000 0.3333
Ca1 Ca 0.0000 0.2342 0.5000
Ca2 Ca 0.0000 0.2581 0.1604
Zn1 Zn 0.0000 0.5000 0.0000

# Al2GeBr8 (PBE-GGA, optimized geometry)
# Volume in Å³/atom: 39.536
# Total DFT energy (no corrections) in eV for the cell shown: -72.20
# Fermi-level density of states in states/eV/f.u.: 0.0
# ΔE_f (raw) in eV/atom: -0.97
data_Al2GeBr8
_chemical_formula_sum 'Al4 Ge2 Br16'
_cell_length_a 12.9431
_cell_length_b 10.3851
_cell_length_c 6.5140
_cell_angle_alpha 90.00
_cell_angle_beta 96.58
_cell_angle_gamma 90.00
_space_group_name_H-M_alt 'C 1 2/m 1'
_space_group_IT_number 12
_space_group_name_Hall '-C 2y'
loop_
_atom_site_label
_atom_site_type_symbol
_atom_site_fract_x
_atom_site_fract_y
_atom_site_fract_z
Al1 Al 0.1967 0.0000 0.1515
Ge1 Ge 0.0000 0.0000 0.5000
Br1 Br 0.1046 0.1780 0.2649
Br2 Br 0.1326 0.5000 0.7213
Br3 Br 0.1872 0.0000 0.7887

# NpAl6Zn (PBE-GGA, optimized geometry)
# Energy relative to the elements in kJ/mol of atoms: 1.3
# Volume in Å³/atom: 18.204
# Total DFT energy (no corrections) in eV for the cell shown: -73.13
# Fermi-level density of states in states/eV/f.u.: 8.9
data_NpAl6Zn
_chemical_formula_sum 'Np2 Al12 Zn2'
_cell_length_a 6.7556
_cell_length_b 9.6854
_cell_length_c 4.4514
_cell_angle_alpha 90.00
_cell_angle_beta 90.00
_cell_angle_gamma 90.00
_space_group_name_H-M_alt 'C m m m'
_space_group_IT_number 65
_space_group_name_Hall '-C 2 2'
loop_
_atom_site_label
_atom_site_type_symbol
_atom_site_fract_x
_atom_site_fract_y
_atom_site_fract_z
Np1 Np 0.0000 0.0000 0.0000
Al1 Al 0.0000 0.2111 0.5000
Al2 Al 0.2014 0.5000 0.5000
Al3 Al 0.2500 0.2500 0.0000
Zn1 Zn 0.0000 0.5000 0.0000

# Hf2Al3Ga2Cu5 (PBE-GGA, optimized geometry)
# Energy relative to the elements in kJ/mol of atoms: -7.7
# Volume in Å³/atom: 15.815
# Total DFT energy (no corrections) in eV for the cell shown: -117.25
# Fermi-level density of states in states/eV/f.u.: 5.7
data_Hf2Al3Ga2Cu5
_chemical_formula_sum 'Hf4 Al6 Ga4 Cu10'
_cell_length_a 3.5836
_cell_length_b 3.5836
_cell_length_c 29.5561
_cell_angle_alpha 90.00
_cell_angle_beta 90.00
_cell_angle_gamma 90.00
_space_group_name_H-M_alt 'I 4/m m m'
_space_group_IT_number 139
_space_group_name_Hall '-I 4 2'
loop_
_atom_site_label
_atom_site_type_symbol
_atom_site_fract_x
_atom_site_fract_y
_atom_site_fract_z
Hf1 Hf 0.0000 0.0000 0.2218
Al1 Al 0.0000 0.0000 0.3291
Al2 Al 0.0000 0.0000 0.5000
Ga1 Ga 0.0000 0.0000 0.1282
Cu1 Cu 0.0000 0.0000 0.0000
Cu2 Cu 0.0000 0.5000 0.0653